## MnAlOF2 (GGA+U)

Data for MnAlOF2 after structural relaxation.

```
5
Lattice="4.136 0.000 0.000 0.000 4.136 0.000 0.000 0.000 3.920" Properties=species:S:1:pos:R:3 pbc="T T T"
F 0.000 2.068 0.000
Mn 0.000 0.000 0.000
O 0.000 0.000 1.960
Al 2.068 2.068 1.960
F 2.068 0.000 0.000
```

## Properties
**Energy above the most stable polymorph in this dataset**: 53.4 kJ per mole of atoms
**SG**: P4/mmm (123)

***

## MnAlO2F (GGA+U)

Data for MnAlO2F after structural relaxation.

```
5
Lattice="3.746 0.000 0.000 0.000 3.746 0.000 0.000 0.000 3.611" Properties=species:S:1:pos:R:3 pbc="T T T"
Al 0.000 0.000 0.000
O 0.000 1.873 0.000
F 0.000 0.000 1.806
Mn 1.873 1.873 1.806
O 1.873 0.000 0.000
```

## Properties
**DFT total energy**: -34.6 eV for the cell shown
**SG**: P4/mmm (123)

***

## MnAlOF2 (GGA+U)

Data for MnAlOF2 after structural relaxation.

```
5
Lattice="4.072 0.000 0.000 0.000 4.072 0.000 0.000 0.000 3.552" Properties=species:S:1:pos:R:3 pbc="T T T"
Mn 2.036 2.036 1.776
Al 0.000 0.000 0.000
O 0.000 0.000 1.776
F 2.036 0.000 0.000
F 0.000 2.036 0.000
```

## Properties
**Energy above the most stable polymorph in this dataset**: 0.0 kJ per mole of atoms
**SG**: P4/mmm (123)

***

## Mn2AlOF (GGA+U)

Data for Mn2AlOF after structural relaxation.

```
5
Lattice="-0.899 3.852 -0.472 -3.561 -1.288 -3.728 -2.817 -0.315 2.799" Properties=species:S:1:pos:R:3 pbc="T T T"
O 0.000 0.000 0.000
Al -3.639 1.125 -0.700
Mn -0.450 1.926 -0.236
Mn -1.408 -0.157 1.400
F -1.781 -0.644 -1.864
```

## Properties
**DFT total energy**: -28.6 eV for the cell shown
**SG**: P4/mmm (123)

***

## MnAlO2F (GGA+U)

Data for MnAlO2F after structural relaxation.

```
5
Lattice="3.887 0.000 0.000 0.000 3.887 0.000 0.000 0.000 3.945" Properties=species:S:1:pos:R:3 pbc="T T T"
Al 1.944 1.944 1.973
O 1.944 0.000 0.000
O 0.000 1.944 0.000
F 0.000 0.000 1.973
Mn 0.000 0.000 0.000
```

## Properties
**DFT total energy**: -29.2 eV for the cell shown
**SG**: P4/mmm (123)

***

## RbMnAl2F8 (GGA+U)

Data for RbMnAl2F8 after structural relaxation.

```
12
Lattice="-3.410 3.906 -1.838 -4.395 1.439 2.979 1.840 7.453 4.194" Properties=species:S:1:pos:R:3 pbc="T T T"
F -2.819 3.900 0.339
Rb -2.982 6.399 2.668
Al -1.607 3.052 1.235
F -0.677 4.239 2.033
F -5.288 8.558 3.302
Mn 0.000 0.000 0.000
Al -4.358 9.745 4.101
F -5.693 5.954 0.632
F -3.146 8.897 4.996
F -1.052 9.173 2.148
F -0.271 6.843 4.704
F -4.912 3.624 3.187
```

## Properties
**DFT total energy**: -66.4 eV for the cell shown
**SG**: R-3 (148)

***

## Rb2MnAlF6 (GGA+U)

Data for Rb2MnAlF6 after structural relaxation.

```
10
Lattice="-2.789 4.970 2.345 1.898 -1.597 5.642 3.206 4.006 3.421" Properties=species:S:1:pos:R:3 pbc="T T T"
F 0.550 0.292 4.693
F -1.441 3.081 3.293
Al -0.446 1.687 3.993
Rb 2.329 2.048 6.528
F -0.635 2.403 5.689
F 1.103 2.670 3.751
Mn 0.000 0.000 0.000
Rb -0.014 5.331 4.880
F 1.212 4.709 7.657
F -0.256 0.970 2.297
```

## Properties
**DFT total energy**: -52.2 eV for the cell shown
**SG**: Fm-3m (225)

***

## RbMnAl2F (GGA+U)

Data for RbMnAl2F after structural relaxation.

```
5
Lattice="4.799 0.000 0.000 0.000 5.189 0.000 0.000 0.000 4.799" Properties=species:S:1:pos:R:3 pbc="T T T"
F 0.000 0.000 0.000
Al 2.399 0.000 0.000
Rb 0.000 2.594 0.000
Al 0.000 0.000 2.399
Mn 2.399 2.594 2.399
```

## Properties
**DFT total energy**: -18.1 eV for the cell shown
**SG**: P4/mmm (123)